Entry 1:
{
  "formula": "EuPaGa2",
  "functional": "PBE",
  "state": "optimized geometry",
  "lattice_angstrom": [[-2.763, -0.879, 1.245], [2.248, -4.654, 1.702], [1.362, 2.377, 4.701]],
  "species": ["Eu", "Pa", "Ga", "Ga"],
  "fractional_positions": [[0.500, 0.500, 0.500], [0.500, 0.000, 0.000], [0.000, 0.000, 0.500], [0.000, 0.500, 0.000]],
  "volume_a3_per_cell": 93.4,
  "sg": "P4/mmm, No. 123",
  "e_above_lowest_polymorph_mev_per_atom": 46
}

***

Entry 2:
{
  "formula": "EuPaGa4",
  "functional": "PBE",
  "state": "optimized geometry",
  "lattice_angstrom": [[5.556, 0.000, 0.000], [2.778, 4.812, 0.000], [2.778, 1.604, 4.536]],
  "species": ["Eu", "Pa", "Ga", "Ga", "Ga", "Ga"],
  "fractional_positions": [[0.250, 0.250, 0.250], [0.000, 0.000, 0.000], [0.626, 0.626, 0.123], [0.626, 0.123, 0.626], [0.626, 0.626, 0.626], [0.123, 0.626, 0.626]],
  "volume_a3_per_cell": 121.3,
  "sg": "F-43m, No. 216"
}

***

Number 1: raw total energy -26.930 eV/cell. Number 2: raw total energy -33.867 eV/cell.